(1)
First-principles (GGA-PBE) data for an optimized crystal structure of K2CaYHf, as listed in Alexandria via LeMat-Bulk.

- energy (eV per formula unit) = -14.72
- space-group type = P4/mmm, No. 123
- DOS at the Fermi energy (states/eV/f.u.) = 6.1
- DFT formation energy (eV/atom) = 1.179

Cell lengths 6.479, 6.479, 5.478 Å; angles 90.00, 90.00, 90.00 degrees
Atoms (fractional coordinates):
K: 0.000 0.500 0.000
K: 0.500 0.000 0.000
Ca: 0.000 0.000 0.500
Y: 0.500 0.500 0.000
Hf: 0.500 0.500 0.500

=====

(2)
First-principles (GGA-PBE) data for an optimized crystal structure of NaNpAl2O8, as listed in Alexandria via LeMat-Bulk.

- energy (eV per formula unit) = -85.18
- space-group type = I-4m2, No. 119
- DOS at the Fermi energy (states/eV/f.u.) = 7.8

Cell lengths 5.857, 5.857, 5.857 Å; angles 107.17, 107.17, 114.18 degrees
Atoms (fractional coordinates):
Na: 0.000 0.000 0.000
Np: 0.250 0.750 0.500
Al: 0.500 0.500 0.000
Al: 0.750 0.250 0.500
O: 0.344 0.131 0.787
O: 0.344 0.557 0.213
O: 0.374 0.055 0.319
O: 0.443 0.656 0.787
O: 0.736 0.055 0.681
O: 0.869 0.656 0.213
O: 0.945 0.264 0.319
O: 0.945 0.626 0.681

=====

(3)
First-principles (GGA-PBE) data for an optimized crystal structure of In4TeBrCl2, as listed in Alexandria via LeMat-Bulk.

- energy (eV per formula unit) = -23.89
- space-group type = C2/c, No. 15
- DOS at the Fermi energy (states/eV/f.u.) = 3.7

Cell lengths 9.125, 9.125, 9.002 Å; angles 119.51, 119.51, 90.56 degrees
Atoms (fractional coordinates):
In: 0.241 0.758 0.510
In: 0.242 0.759 0.990
In: 0.258 0.262 0.510
In: 0.262 0.258 0.010
In: 0.738 0.742 0.990
In: 0.742 0.738 0.490
In: 0.758 0.241 0.010
In: 0.759 0.242 0.490
Te: 0.500 0.500 0.000
Te: 0.500 0.500 0.500
Br: 0.000 0.500 0.000
Br: 0.500 0.000 0.500
Cl: 0.000 0.000 0.000
Cl: 0.000 0.000 0.500
Cl: 0.000 0.500 0.500
Cl: 0.500 0.000 0.000

=====

(4)
First-principles (GGA-PBE) data for an optimized crystal structure of CeHoFe, as listed in Alexandria via LeMat-Bulk.

- energy (eV per formula unit) = -19.24
- space-group type = Pnma, No. 62
- E above lowest polymorph (eV/f.u.) = 0.068
- DOS at the Fermi energy (states/eV/f.u.) = 4.5
- DFT formation energy (eV/atom) = -0.088

Cell lengths 6.011, 3.684, 12.867 Å; angles 90.00, 90.00, 90.00 degrees
Atoms (fractional coordinates):
Ce: 0.124 0.250 0.148
Ce: 0.376 0.750 0.648
Ce: 0.624 0.250 0.352
Ce: 0.876 0.750 0.852
Ho: 0.131 0.750 0.402
Ho: 0.369 0.250 0.902
Ho: 0.631 0.750 0.098
Ho: 0.869 0.250 0.598
Fe: 0.143 0.750 0.037
Fe: 0.357 0.250 0.537
Fe: 0.643 0.750 0.463
Fe: 0.857 0.250 0.963

=====

(5)
First-principles (GGA-PBE) data for an optimized crystal structure of Re3Se, as listed in Alexandria via LeMat-Bulk.

- energy (eV per formula unit) = -39.60
- space-group type = R-3m, No. 166
- E above lowest polymorph (eV/f.u.) = 0.000
- DOS at the Fermi energy (states/eV/f.u.) = 2.5

Cell lengths 8.662, 8.662, 8.662 Å; angles 19.10, 19.10, 19.10 degrees
Atoms (fractional coordinates):
Re: 0.000 0.000 0.000
Re: 0.249 0.249 0.249
Re: 0.751 0.751 0.751
Se: 0.500 0.500 0.500

=====

(6)
First-principles (GGA-PBE) data for an optimized crystal structure of K2SiTc, as listed in Alexandria via LeMat-Bulk.

- energy (eV per formula unit) = -13.92
- space-group type = Cmmm, No. 65
- DOS at the Fermi energy (states/eV/f.u.) = 2.0

Cell lengths 6.279, 6.279, 2.851 Å; angles 90.00, 90.00, 129.06 degrees
Atoms (fractional coordinates):
K: 0.000 0.500 0.000
K: 0.500 0.000 0.000
Si: 0.000 0.000 0.500
Tc: 0.500 0.500 0.500

=====

(7)
First-principles (GGA-PBE) data for an optimized crystal structure of CsCePaSe4, as listed in Alexandria via LeMat-Bulk.

- energy (eV per formula unit) = -40.40
- space-group type = Imma, No. 74
- DOS at the Fermi energy (states/eV/f.u.) = 13.1

Cell lengths 9.061, 9.061, 9.061 Å; angles 120.96, 116.74, 92.04 degrees
Atoms (fractional coordinates):
Cs: 0.388 0.138 0.250
Cs: 0.612 0.862 0.750
Ce: 0.000 0.500 0.500
Ce: 0.500 0.500 0.000
Pa: 0.000 0.000 0.500
Pa: 0.000 0.500 0.000
Se: 0.179 0.737 0.443
Se: 0.206 0.263 0.943
Se: 0.225 0.267 0.542
Se: 0.225 0.683 0.958
Se: 0.775 0.317 0.042
Se: 0.775 0.733 0.458
Se: 0.794 0.737 0.057
Se: 0.821 0.263 0.557

=====

(8)
First-principles (GGA-PBE) data for an optimized crystal structure of KMnAs2Se, as listed in Alexandria via LeMat-Bulk.

- energy (eV per formula unit) = -15.46
- space-group type = P4/mmm, No. 123
- E above lowest polymorph (eV/f.u.) = 8.138
- DOS at the Fermi energy (states/eV/f.u.) = 5.5

Cell lengths 5.410, 5.410, 5.489 Å; angles 90.00, 90.00, 90.00 degrees
Atoms (fractional coordinates):
K: 0.000 0.000 0.000
Mn: 0.500 0.500 0.500
As: 0.000 0.500 0.000
As: 0.500 0.000 0.000
Se: 0.000 0.000 0.500

=====

(9)
First-principles (GGA-PBE) data for an optimized crystal structure of Ta2MoPt, as listed in Alexandria via LeMat-Bulk.

- energy (eV per formula unit) = -38.74
- space-group type = I-42d, No. 122
- DOS at the Fermi energy (states/eV/f.u.) = 1.0
- DFT formation energy (eV/atom) = 0.459

Cell lengths 9.725, 9.725, 9.725 Å; angles 156.35, 156.35, 33.69 degrees
Atoms (fractional coordinates):
Ta: 0.122 0.625 0.997
Ta: 0.375 0.372 0.497
Ta: 0.628 0.125 0.003
Ta: 0.875 0.878 0.503
Mo: 0.000 0.000 0.000
Mo: 0.750 0.250 0.500
Pt: 0.250 0.750 0.500
Pt: 0.500 0.500 0.000

=====

(10)
First-principles (GGA-PBE) data for an optimized crystal structure of RbMoN2, as listed in Alexandria via LeMat-Bulk.

- energy (eV per formula unit) = -30.05
- space-group type = I-42d, No. 122
- E above lowest polymorph (eV/f.u.) = 0.047
- DOS at the Fermi energy (states/eV/f.u.) = 1.9

Cell lengths 6.111, 6.111, 6.111 Å; angles 120.78, 120.78, 88.66 degrees
Atoms (fractional coordinates):
Rb: 0.000 0.000 0.000
Rb: 0.750 0.250 0.500
Mo: 0.250 0.750 0.500
Mo: 0.500 0.500 0.000
N: 0.314 0.625 0.189
N: 0.375 0.564 0.689
N: 0.436 0.125 0.811
N: 0.875 0.686 0.311

=====

(11)
First-principles (GGA-PBE) data for an optimized crystal structure of Pr9YHo2, as listed in Alexandria via LeMat-Bulk.

- energy (eV per formula unit) = -58.48
- space-group type = P4/mmm, No. 123
- DOS at the Fermi energy (states/eV/f.u.) = 19.9
- DFT formation energy (eV/atom) = 0.013

Cell lengths 5.191, 5.191, 15.571 Å; angles 90.00, 90.00, 90.00 degrees
Atoms (fractional coordinates):
Pr: 0.000 0.000 0.000
Pr: 0.000 0.000 0.334
Pr: 0.000 0.000 0.666
Pr: 0.000 0.500 0.168
Pr: 0.000 0.500 0.500
Pr: 0.000 0.500 0.832
Pr: 0.500 0.000 0.168
Pr: 0.500 0.000 0.500
Pr: 0.500 0.000 0.832
Y: 0.500 0.500 0.000
Ho: 0.500 0.500 0.334
Ho: 0.500 0.500 0.666

=====

(12)
First-principles (GGA-PBE) data for an optimized crystal structure of Nd5Th2, as listed in Alexandria via LeMat-Bulk.

- energy (eV per formula unit) = -37.68
- space-group type = C2/m, No. 12
- DOS at the Fermi energy (states/eV/f.u.) = 13.4
- DFT formation energy (eV/atom) = 0.142

Cell lengths 5.642, 5.642, 9.331 Å; angles 113.09, 113.09, 65.33 degrees
Atoms (fractional coordinates):
Nd: 0.000 0.000 0.000
Nd: 0.140 0.140 0.430
Nd: 0.428 0.428 0.280
Nd: 0.572 0.572 0.720
Nd: 0.860 0.860 0.570
Th: 0.292 0.292 0.865
Th: 0.708 0.708 0.135

=====

What is the formula in the seventh record? CsCePaSe4

=====

What is the DOS at the Fermi energy in the ninth record? 1.0 states/eV/f.u.

=====

Look up the energy of the eleventh one. -58.48 eV per formula unit